Entry 1
Here is a geometry-optimized CePmCo structure from the Alexandria database. Energies are from PBE.

```
CePmCo
1.0
6.7056 0.0000 0.0000
0.0000 6.7056 0.0000
0.0000 0.0000 6.7056
Ce Pm Co
4 4 4
Direct
0.0000 0.0000 0.0000
0.0000 0.5000 0.5000
0.5000 0.0000 0.5000
0.5000 0.5000 0.0000
0.0000 0.0000 0.5000
0.0000 0.5000 0.0000
0.5000 0.0000 0.0000
0.5000 0.5000 0.5000
0.2500 0.2500 0.2500
0.2500 0.7500 0.7500
0.7500 0.2500 0.7500
0.7500 0.7500 0.2500
```


Entry 2
Here is a geometry-optimized CePmCo structure from the Alexandria database. Energies are from PBE.

```
CePmCo
1.0
3.4722 0.0000 0.0000
0.0000 3.4722 0.0000
0.0000 0.0000 11.2935
Ce Pm Co
2 2 2
Direct
0.0000 0.0000 0.0000
0.5000 0.5000 0.5000
0.0000 0.0000 0.2834
0.5000 0.5000 0.7834
0.0000 0.0000 0.6050
0.5000 0.5000 0.1050
```


Sorted by energy, starting with the most stable: entry 2, entry 1.


Entry 1
Here is a geometry-optimized CePmCo structure from the Alexandria database. Energies are from PBE.

```
CePmCo
1.0
9.3027 0.0000 0.0000
0.0000 5.3516 0.0000
-3.0811 0.0000 5.8964
Ce Pm Co
4 4 4
Direct
0.1151 0.0000 0.3440
0.3849 0.5000 0.6560
0.6151 0.5000 0.3440
0.8849 0.0000 0.6560
0.1120 0.5000 0.8361
0.3880 0.0000 0.1639
0.6120 0.0000 0.8361
0.8880 0.5000 0.1639
0.2381 0.0000 0.7147
0.2619 0.5000 0.2853
0.7381 0.5000 0.7147
0.7619 0.0000 0.2853
```


Entry 2
Here is a geometry-optimized CePmCo structure from the Alexandria database. Energies are from PBE.

```
CePmCo
1.0
4.1850 0.0000 0.0000
-2.0925 3.6243 0.0000
0.0000 0.0000 4.8213
Ce Pm Co
1 1 1
Direct
0.0000 0.0000 0.0000
0.3333 0.6667 0.5000
0.6667 0.3333 0.0000
```


Sorted by energy, starting with the most stable: entry 1, entry 2.